Record 1
# FeRe2Rh, optimized geometry, DFT GGA-PBE
data_FeRe2Rh
_chemical_formula_sum 'Fe1 Re2 Rh1'
_cell_length_a 2.657
_cell_length_b 4.143
_cell_length_c 5.184
_cell_angle_alpha 90.00
_cell_angle_beta 104.52
_cell_angle_gamma 90.00
_space_group_name_H-M_alt 'P 1 m 1'
_space_group_IT_number 6
loop_
_space_group_symop_operation_xyz
'x,y,z'
'x,-y,z'
loop_
_atom_site_label
_atom_site_fract_x
_atom_site_fract_y
_atom_site_fract_z
_atom_site_occupancy
Fe1 0.000 0.000 0.000 1
Re1 0.259 0.000 0.505 1
Re2 0.601 0.500 0.204 1
Rh1 0.872 0.500 0.735 1
# DFT total energy (eV per atom): -10.13
# Formation energy from the elements (eV per formula unit): 0.18
# Polymorph energy (0 for the lowest one) (meV per atom): 53


Record 2
# CeY14Tm, optimized geometry, DFT GGA-PBE
data_CeY14Tm
_chemical_formula_sum 'Ce1 Y14 Tm1'
_cell_length_a 7.143
_cell_length_b 7.143
_cell_length_c 10.085
_cell_angle_alpha 90.00
_cell_angle_beta 90.00
_cell_angle_gamma 90.00
_space_group_name_H-M_alt 'P 4/m m m'
_space_group_IT_number 123
_space_group_name_Hall '-P 4 2'
loop_
_atom_site_label
_atom_site_fract_x
_atom_site_fract_y
_atom_site_fract_z
_atom_site_occupancy
Ce1 0.000 0.000 0.000 1
Y1 0.000 0.000 0.500 1
Y2 0.000 0.500 0.000 1
Y3 0.000 0.500 0.500 1
Y4 0.249 0.249 0.248 1
Y5 0.500 0.500 0.500 1
Tm1 0.500 0.500 0.000 1
# DFT total energy (eV per atom): -6.27
# Formation energy from the elements (eV per formula unit): 0.55